First-principles (PBE) data for an optimized crystal structure of LaGe2PdW, as listed in the Alexandria database.

Values from the calculation:
- total DFT energy (no corrections) (eV per atom) = -6.516
- ΔE_f (meV/atom) = -55

abc: 4.8258 5.0568 4.8258
angles: 90.00 90.00 90.00
With the nearest neighbours (Å) after each atom.
Positions (direct):
Ge 0.0000 0.0000 0.5000  2 W 2.41
Ge 0.5000 0.0000 0.0000  2 W 2.41
Pd 0.0000 0.5000 0.0000  2 W 2.53
W 0.0000 0.0000 0.0000  4 Ge 2.41, 2 Pd 2.53
La 0.5000 0.5000 0.5000  4 Pd 3.41, 8 Ge 3.49